# 1
Compound: Mg3Zn
Source: Alexandria
Functional: meta-GGA SCAN
Structure: PBEsol geometry

The structure in POSCAR format:
```
Mg3Zn
1.0
4.7340 0.0000 0.0000
-2.3670 4.0998 0.0000
0.0000 0.0000 8.3249
Mg Zn
6 2
direct
0.0000 0.0000 0.2500
0.0000 0.0000 0.7500
0.3333 0.6667 0.0766
0.3333 0.6667 0.4234
0.6667 0.3333 0.5766
0.6667 0.3333 0.9234
0.3333 0.6667 0.7500
0.6667 0.3333 0.2500
```

Properties
Size of the total moment   0.00 μB per formula unit
D(E_F)   0.278 states/eV per atom
Total energy   -7.167 eV/atom
Calculated volume   161.6 Å³ per cell
Energy of formation from the pure elements   -57.5 meV per atom

---

# 2
Compound: Mg3Zn
Source: Alexandria
Functional: meta-GGA SCAN
Structure: PBEsol geometry

The structure in POSCAR format:
```
Mg3Zn
1.0
3.1034 0.0000 0.0000
0.0000 3.1034 0.0000
0.0000 0.0000 8.2756
Mg Zn
3 1
direct
0.0000 0.0000 0.0000
0.5000 0.5000 0.2830
0.5000 0.5000 0.7170
0.0000 0.0000 0.5000
```

Properties
Size of the total moment   0.00 μB per formula unit
D(E_F)   0.417 states/eV per atom
Total energy   -7.161 eV/atom
Calculated volume   79.7 Å³ per cell
Energy of formation from the pure elements   -51.8 meV per atom

---

# 3
Compound: Mg5Zn3
Source: Alexandria
Functional: meta-GGA SCAN
Structure: PBEsol geometry

The structure in POSCAR format:
```
Mg5Zn3
1.0
3.6464 -4.5552 0.0000
3.6464 4.5552 0.0000
0.0000 0.0000 4.4708
Mg Zn
5 3
direct
0.0000 0.0000 0.0000
0.0000 0.5000 0.0000
0.2839 0.2839 0.5000
0.5000 0.0000 0.0000
0.7161 0.7161 0.5000
0.2235 0.7765 0.5000
0.5000 0.5000 0.0000
0.7765 0.2235 0.5000
```

Properties
Size of the total moment   0.00 μB per formula unit
D(E_F)   0.315 states/eV per atom
Total energy   -8.265 eV/atom
Calculated volume   148.5 Å³ per cell
Energy of formation from the pure elements   -88.0 meV per atom